# PBE MgBeNiB, optimized geometry
# Excess energy over the best structure of this formula in the dataset ... 191.7 meV per atom
data_MgBeNiB
_symmetry_space_group_name_H-M 'F -4 3 m'
_symmetry_Int_Tables_number 216
_symmetry_space_group_name_Hall 'F -4 2 3'
_cell_length_a 5.462
_cell_length_b 5.462
_cell_length_c 5.462
_cell_angle_alpha 90.00
_cell_angle_beta 90.00
_cell_angle_gamma 90.00
loop_
_atom_site_label
_atom_site_fract_x
_atom_site_fract_y
_atom_site_fract_z
_atom_site_occupancy
Mg1 0.000 0.000 0.000 1
Be1 0.000 0.000 0.500 1
Ni1 0.250 0.250 0.750 1
B1 0.250 0.250 0.250 1

=====

# PBE MgBeZnB, optimized geometry
# Excess energy over the best structure of this formula in the dataset ... 183.0 meV per atom
data_MgBeZnB
_symmetry_space_group_name_H-M 'F -4 3 m'
_symmetry_Int_Tables_number 216
_symmetry_space_group_name_Hall 'F -4 2 3'
_cell_length_a 5.791
_cell_length_b 5.791
_cell_length_c 5.791
_cell_angle_alpha 90.00
_cell_angle_beta 90.00
_cell_angle_gamma 90.00
loop_
_atom_site_label
_atom_site_fract_x
_atom_site_fract_y
_atom_site_fract_z
_atom_site_occupancy
Mg1 0.000 0.000 0.000 1
Be1 0.250 0.250 0.750 1
Zn1 0.250 0.250 0.250 1
B1 0.000 0.000 0.500 1

=====

# PBE MgBeZnB, optimized geometry
# Excess energy over the best structure of this formula in the dataset ... 27.5 meV per atom
data_MgBeZnB
_symmetry_space_group_name_H-M 'F -4 3 m'
_symmetry_Int_Tables_number 216
_symmetry_space_group_name_Hall 'F -4 2 3'
_cell_length_a 5.736
_cell_length_b 5.736
_cell_length_c 5.736
_cell_angle_alpha 90.00
_cell_angle_beta 90.00
_cell_angle_gamma 90.00
loop_
_atom_site_label
_atom_site_fract_x
_atom_site_fract_y
_atom_site_fract_z
_atom_site_occupancy
Mg1 0.000 0.000 0.000 1
Be1 0.250 0.250 0.750 1
Zn1 0.000 0.000 0.500 1
B1 0.250 0.250 0.250 1

=====

# PBE MgBeZnB, optimized geometry
# Excess energy over the best structure of this formula in the dataset ... 0.0 meV per atom
data_MgBeZnB
_symmetry_space_group_name_H-M 'F -4 3 m'
_symmetry_Int_Tables_number 216
_symmetry_space_group_name_Hall 'F -4 2 3'
_cell_length_a 5.764
_cell_length_b 5.764
_cell_length_c 5.764
_cell_angle_alpha 90.00
_cell_angle_beta 90.00
_cell_angle_gamma 90.00
loop_
_atom_site_label
_atom_site_fract_x
_atom_site_fract_y
_atom_site_fract_z
_atom_site_occupancy
Mg1 0.000 0.000 0.000 1
Be1 0.000 0.000 0.500 1
Zn1 0.250 0.250 0.750 1
B1 0.250 0.250 0.250 1

=====

# PBE BeBMo2, optimized geometry
# Excess energy over the best structure of this formula in the dataset ... 0.0 meV per atom
data_BeBMo2
_symmetry_space_group_name_H-M 'A m m 2'
_symmetry_Int_Tables_number 38
_symmetry_space_group_name_Hall 'A 2 -2'
_cell_length_a 3.181
_cell_length_b 3.175
_cell_length_c 8.641
_cell_angle_alpha 90.00
_cell_angle_beta 90.00
_cell_angle_gamma 90.00
loop_
_atom_site_label
_atom_site_fract_x
_atom_site_fract_y
_atom_site_fract_z
_atom_site_occupancy
Be1 0.000 0.000 0.000 1
B1 0.500 0.000 0.871 1
Mo1 0.000 0.000 0.289 1
Mo2 0.500 0.000 0.585 1

=====

# PBE BeB4Mo, optimized geometry
# Excess energy over the best structure of this formula in the dataset ... 20.5 meV per atom
data_BeB4Mo
_symmetry_space_group_name_H-M 'P 6/m m m'
_symmetry_Int_Tables_number 191
_symmetry_space_group_name_Hall '-P 6 2'
_cell_length_a 2.9353
_cell_length_b 2.9353
_cell_length_c 6.4793
_cell_angle_alpha 90.00
_cell_angle_beta 90.00
_cell_angle_gamma 120.00
loop_
_atom_site_label
_atom_site_fract_x
_atom_site_fract_y
_atom_site_fract_z
_atom_site_occupancy
Be1 0.0000 0.0000 0.0000 1
B1 0.3333 0.6667 0.2291 1
Mo1 0.0000 0.0000 0.5000 1

=====

# PBE BeBMo2, optimized geometry
# Excess energy over the best structure of this formula in the dataset ... 956.5 meV per atom
data_BeBMo2
_symmetry_space_group_name_H-M 'F -4 3 m'
_symmetry_Int_Tables_number 216
_symmetry_space_group_name_Hall 'F -4 2 3'
_cell_length_a 5.788
_cell_length_b 5.788
_cell_length_c 5.788
_cell_angle_alpha 90.00
_cell_angle_beta 90.00
_cell_angle_gamma 90.00
loop_
_atom_site_label
_atom_site_fract_x
_atom_site_fract_y
_atom_site_fract_z
_atom_site_occupancy
Be1 0.000 0.000 0.000 1
B1 0.250 0.250 0.250 1
Mo1 0.000 0.000 0.500 1
Mo2 0.250 0.250 0.750 1

=====

# PBE BeB4Mo, optimized geometry
# Excess energy over the best structure of this formula in the dataset ... 0.0 meV per atom
data_BeB4Mo
_symmetry_space_group_name_H-M 'I m m m'
_symmetry_Int_Tables_number 71
_symmetry_space_group_name_Hall '-I 2 2'
_cell_length_a 2.940
_cell_length_b 5.198
_cell_length_c 6.384
_cell_angle_alpha 90.00
_cell_angle_beta 90.00
_cell_angle_gamma 90.00
loop_
_atom_site_label
_atom_site_fract_x
_atom_site_fract_y
_atom_site_fract_z
_atom_site_occupancy
Be1 0.000 0.000 0.000 1
B1 0.000 0.339 0.260 1
Mo1 0.000 0.000 0.500 1

=====

# PBE BeBMo, optimized geometry
# DFT total energy ... -74.604 eV per cell
data_BeBMo
_symmetry_space_group_name_H-M 'F -4 3 m'
_symmetry_Int_Tables_number 216
_symmetry_space_group_name_Hall 'F -4 2 3'
_cell_length_a 5.221
_cell_length_b 5.221
_cell_length_c 5.221
_cell_angle_alpha 90.00
_cell_angle_beta 90.00
_cell_angle_gamma 90.00
loop_
_atom_site_label
_atom_site_fract_x
_atom_site_fract_y
_atom_site_fract_z
_atom_site_occupancy
Be1 0.000 0.000 0.000 1
B1 0.000 0.000 0.500 1
Mo1 0.250 0.250 0.750 1

=====

# PBE BeNiBMo, optimized geometry
# Excess energy over the best structure of this formula in the dataset ... 460.9 meV per atom
data_BeNiBMo
_symmetry_space_group_name_H-M 'F -4 3 m'
_symmetry_Int_Tables_number 216
_symmetry_space_group_name_Hall 'F -4 2 3'
_cell_length_a 5.516
_cell_length_b 5.516
_cell_length_c 5.516
_cell_angle_alpha 90.00
_cell_angle_beta 90.00
_cell_angle_gamma 90.00
loop_
_atom_site_label
_atom_site_fract_x
_atom_site_fract_y
_atom_site_fract_z
_atom_site_occupancy
Be1 0.000 0.000 0.000 1
Ni1 0.000 0.000 0.500 1
B1 0.250 0.250 0.250 1
Mo1 0.250 0.250 0.750 1

=====

# PBE BeNiBMo, optimized geometry
# Excess energy over the best structure of this formula in the dataset ... 0.0 meV per atom
data_BeNiBMo
_symmetry_space_group_name_H-M 'F -4 3 m'
_symmetry_Int_Tables_number 216
_symmetry_space_group_name_Hall 'F -4 2 3'
_cell_length_a 5.413
_cell_length_b 5.413
_cell_length_c 5.413
_cell_angle_alpha 90.00
_cell_angle_beta 90.00
_cell_angle_gamma 90.00
loop_
_atom_site_label
_atom_site_fract_x
_atom_site_fract_y
_atom_site_fract_z
_atom_site_occupancy
Be1 0.000 0.000 0.000 1
Ni1 0.250 0.250 0.750 1
B1 0.000 0.000 0.500 1
Mo1 0.250 0.250 0.250 1

=====

# PBE BeNiBMo, optimized geometry
# Excess energy over the best structure of this formula in the dataset ... 194.7 meV per atom
data_BeNiBMo
_symmetry_space_group_name_H-M 'F -4 3 m'
_symmetry_Int_Tables_number 216
_symmetry_space_group_name_Hall 'F -4 2 3'
_cell_length_a 5.511
_cell_length_b 5.511
_cell_length_c 5.511
_cell_angle_alpha 90.00
_cell_angle_beta 90.00
_cell_angle_gamma 90.00
loop_
_atom_site_label
_atom_site_fract_x
_atom_site_fract_y
_atom_site_fract_z
_atom_site_occupancy
Be1 0.000 0.000 0.000 1
Ni1 0.250 0.250 0.750 1
B1 0.250 0.250 0.250 1
Mo1 0.000 0.000 0.500 1